[1]
Compound: LaReBr4
Source: the Alexandria database
Functional: PBE-GGA
Structure: relaxed

Output
DOS at the Fermi energy ... 28.7 states/eV per cell
DFT total energy ... -80.31 eV per cell
Crystal system ... cubic
Calculated volume ... 691.05 Å³/cell
Formation energy without anion corrections ... 4.0 eV/f.u.

a = 8.8410 Å, b = 8.8410 Å, c = 8.8410 Å
α = 90.00°, β = 90.00°, γ = 90.00°
With the nearest neighbours (Å) after each atom.
Space group F-43m (No. 216)
Asymmetric unit:
1 La 0.0000 0.0000 0.0000 [4 per cell]  12 Br 3.66, 4 Re 3.83
2 Re 0.2500 0.2500 0.7500 [4 per cell]  12 Br 3.67, 4 La 3.83
3 Br 0.1252 0.1252 0.3748 [16 per cell]  6 Br 3.12-3.13

---

[2]
Compound: La3ReBr
Source: the Alexandria database
Functional: PBE-GGA
Structure: relaxed

Output
DOS at the Fermi energy ... 10.7 states/eV per cell
DFT total energy ... -29.28 eV per cell
Crystal system ... cubic
Calculated volume ... 179.34 Å³/cell
Distance to the lowest polymorph of the same formula ... 0 meV per atom
Formation energy without anion corrections ... -0.4 eV/f.u.

a = 5.6393 Å, b = 5.6393 Å, c = 5.6393 Å
α = 90.00°, β = 90.00°, γ = 90.00°
With the nearest neighbours (Å) after each atom.
Space group Pm-3m (No. 221)
Asymmetric unit:
1 La 0.0000 0.0000 0.5000 [3 per cell]  2 Re 2.82
2 Re 0.0000 0.0000 0.0000 [1 per cell]  6 La 2.82
3 Br 0.5000 0.5000 0.5000 [1 per cell]  12 La 3.99

---

[3]
Compound: LaRe2Br
Source: the Alexandria database
Functional: PBE-GGA
Structure: relaxed

Output
DOS at the Fermi energy ... 2.5 states/eV per cell
DFT total energy ... -31.13 eV per cell
Crystal system ... tetragonal
Calculated volume ... 88.01 Å³/cell
Distance to the lowest polymorph of the same formula ... 39 meV per atom
Formation energy without anion corrections ... 0.4 eV/f.u.

a = 3.2292 Å, b = 3.2292 Å, c = 8.4400 Å
α = 90.00°, β = 90.00°, γ = 90.00°
With the nearest neighbours (Å) after each atom.
Space group P4mm (No. 99)
Asymmetric unit:
1 La 0.0000 0.0000 0.0000 [1 per cell]  4 Br 3.14, 4 La 3.23, 4 Re 3.25
2 Re 0.0000 0.0000 0.4178 [1 per cell]  4 Re 2.58
3 Re 0.5000 0.5000 0.2745 [1 per cell]  4 Re 2.58
4 Br 0.5000 0.5000 0.7455 [1 per cell]  4 La 3.14, 4 Br 3.23

---

[4]
Compound: LaRe2Br
Source: the Alexandria database
Functional: PBE-GGA
Structure: relaxed

Output
DOS at the Fermi energy ... 6.0 states/eV per cell
DFT total energy ... -58.27 eV per cell
Crystal system ... tetragonal
Calculated volume ... 172.36 Å³/cell
Distance to the lowest polymorph of the same formula ... 538 meV per atom
Formation energy without anion corrections ... 2.4 eV/f.u.

a = 3.8591 Å, b = 3.8591 Å, c = 11.5736 Å
α = 90.00°, β = 90.00°, γ = 90.00°
With the nearest neighbours (Å) after each atom.
Space group I4/mmm (No. 139)
Asymmetric unit:
1 La 0.0000 0.0000 0.0000 [2 per cell]  4 Br 2.73
2 Re 0.0000 0.5000 0.2500 [4 per cell]  4 Re 2.73
3 Br 0.0000 0.0000 0.5000 [2 per cell]  4 La 2.73

---

[5]
Compound: LaRe2Br
Source: the Alexandria database
Functional: PBE-GGA
Structure: relaxed

Output
DOS at the Fermi energy ... 10.8 states/eV per cell
DFT total energy ... -93.87 eV per cell
Crystal system ... trigonal
Calculated volume ... 327.04 Å³/cell
Distance to the lowest polymorph of the same formula ... 0 meV per atom
Formation energy without anion corrections ... 0.2 eV/f.u.

a = 4.1249 Å, b = 4.1249 Å, c = 22.1947 Å
α = 90.00°, β = 90.00°, γ = 120.00°
With the nearest neighbours (Å) after each atom.
Space group R3m (No. 160, hexagonal axes)
Asymmetric unit:
1 La 0.0000 0.0000 0.0000 [3 per cell]  3 Re 3.06, 3 Br 3.13
2 Re 0.0000 0.0000 0.4446 [3 per cell]  3 Re 2.44
3 Re 0.0000 0.0000 0.7534 [3 per cell]  3 Re 2.44
4 Br 0.0000 0.0000 0.2417 [3 per cell]  3 La 3.13

---

[6]
Compound: LaRe2Br
Source: the Alexandria database
Functional: PBE-GGA
Structure: relaxed

Output
DOS at the Fermi energy ... 2.8 states/eV per cell
DFT total energy ... -60.68 eV per cell
Crystal system ... monoclinic
Calculated volume ... 197.76 Å³/cell
Distance to the lowest polymorph of the same formula ... 238 meV per atom
Formation energy without anion corrections ... 1.2 eV/f.u.

a = 11.5679 Å, b = 3.5853 Å, c = 4.8113 Å
α = 90.00°, β = 97.67°, γ = 90.00°
With the nearest neighbours (Å) after each atom.
Space group C2/m (No. 12)
Asymmetric unit:
1 La 0.0000 0.0000 0.0000 [2 per cell]  4 Br 3.00, 6 Re 3.17-3.33
2 Re 0.2253 0.5000 0.8435 [4 per cell]  2 Re 2.36
3 Br 0.0000 0.5000 0.5000 [2 per cell]  2 Re 2.89, 4 La 3.00

---

[7]
Compound: LaRe2Br
Source: the Alexandria database
Functional: PBE-GGA
Structure: relaxed

Output
DOS at the Fermi energy ... 3.3 states/eV per cell
DFT total energy ... -60.40 eV per cell
Crystal system ... monoclinic
Calculated volume ... 189.95 Å³/cell
Distance to the lowest polymorph of the same formula ... 272 meV per atom
Formation energy without anion corrections ... 1.3 eV/f.u.

a = 9.6519 Å, b = 3.6217 Å, c = 5.7214 Å
α = 90.00°, β = 108.24°, γ = 90.00°
With the nearest neighbours (Å) after each atom.
Space group Cm (No. 8)
Asymmetric unit:
1 La 0.0000 0.0000 0.0000 [2 per cell]  3 Br 2.97-3.08, 4 Re 3.12-3.29
2 Re 0.0075 0.5000 0.4750 [2 per cell]  2 Re 2.37
3 Re 0.3424 0.5000 0.4329 [2 per cell]  2 Re 2.37
4 Br 0.2353 0.0000 0.7662 [2 per cell]  4 Re 2.93-3.04, 3 La 2.97-3.08

---

[8]
Compound: LaRe2Br
Source: the Alexandria database
Functional: PBE-GGA
Structure: relaxed

Output
DOS at the Fermi energy ... 5.5 states/eV per cell
DFT total energy ... -26.64 eV per cell
Crystal system ... tetragonal
Calculated volume ... 88.92 Å³/cell
Distance to the lowest polymorph of the same formula ... 1163 meV per atom
Formation energy without anion corrections ... 4.9 eV/f.u.

a = 3.9527 Å, b = 3.9527 Å, c = 5.6914 Å
α = 90.00°, β = 90.00°, γ = 90.00°
With the nearest neighbours (Å) after each atom.
Space group P4/mmm (No. 123)
Asymmetric unit:
1 La 0.0000 0.0000 0.0000 [1 per cell]  2 Br 2.85
2 Re 0.5000 0.5000 0.2977 [2 per cell]  1 Re 2.30
3 Br 0.0000 0.0000 0.5000 [1 per cell]  2 La 2.85, 8 Re 3.02

---

[9]
Compound: LaRe2Br
Source: the Alexandria database
Functional: PBE-GGA
Structure: relaxed

Output
DOS at the Fermi energy ... 16.0 states/eV per cell
DFT total energy ... -80.12 eV per cell
Crystal system ... trigonal
Calculated volume ... 230.01 Å³/cell
Distance to the lowest polymorph of the same formula ... 1146 meV per atom
Formation energy without anion corrections ... 4.8 eV/f.u.

a = 2.9966 Å, b = 2.9966 Å, c = 29.5772 Å
α = 90.00°, β = 90.00°, γ = 120.00°
With the nearest neighbours (Å) after each atom.
Space group R-3m (No. 166, hexagonal axes)
Asymmetric unit:
1 La 0.0000 0.0000 0.0000 [3 per cell]  6 La 3.00, 6 Re 3.25
2 Re 0.0000 0.0000 0.2402 [6 per cell]  3 Br 2.78, 6 Re 3.00
3 Br 0.0000 0.0000 0.5000 [3 per cell]  6 Re 2.78, 6 Br 3.00

---

[10]
Compound: LaRe2Br
Source: the Alexandria database
Functional: PBE-GGA
Structure: relaxed

Output
DOS at the Fermi energy ... 6.5 states/eV per cell
DFT total energy ... -59.48 eV per cell
Crystal system ... orthorhombic
Calculated volume ... 189.87 Å³/cell
Distance to the lowest polymorph of the same formula ... 388 meV per atom
Formation energy without anion corrections ... 1.8 eV/f.u.

a = 3.7145 Å, b = 5.5631 Å, c = 9.1885 Å
α = 90.00°, β = 90.00°, γ = 90.00°
With the nearest neighbours (Å) after each atom.
Space group Imm2 (No. 44)
Asymmetric unit:
1 La 0.0000 0.0000 0.0000 [2 per cell]  4 Br 3.15-3.45, 6 Re 3.17-3.34
2 Re 0.0000 0.0000 0.4967 [2 per cell]  2 Re 2.38
3 Re 0.0000 0.5000 0.8349 [2 per cell]  2 Re 2.38
4 Br 0.0000 0.5000 0.2226 [2 per cell]  2 Re 2.79

---

[11]
Compound: LaRe2Br2
Source: the Alexandria database
Functional: PBE-GGA
Structure: relaxed

Output
DOS at the Fermi energy ... 9.0 states/eV per cell
DFT total energy ... -62.60 eV per cell
Crystal system ... tetragonal
Calculated volume ... 235.26 Å³/cell
Formation energy without anion corrections ... 1.9 eV/f.u.

a = 4.5448 Å, b = 4.5448 Å, c = 11.3897 Å
α = 90.00°, β = 90.00°, γ = 90.00°
With the nearest neighbours (Å) after each atom.
Space group I4/mmm (No. 139)
Asymmetric unit:
1 La 0.0000 0.0000 0.0000 [2 per cell]  8 Re 3.40, 8 Br 3.64
2 Re 0.0000 0.0000 0.4031 [4 per cell]  1 Re 2.21
3 Br 0.0000 0.5000 0.2500 [4 per cell]  4 Re 2.86

---

[12]
Compound: LaRe2Br
Source: the Alexandria database
Functional: PBE-GGA
Structure: relaxed

Output
DOS at the Fermi energy ... 2.9 states/eV per cell
DFT total energy ... -28.54 eV per cell
Crystal system ... orthorhombic
Calculated volume ... 98.21 Å³/cell
Distance to the lowest polymorph of the same formula ... 688 meV per atom
Formation energy without anion corrections ... 3.0 eV/f.u.

a = 3.1983 Å, b = 5.0326 Å, c = 6.1017 Å
α = 90.00°, β = 90.00°, γ = 90.00°
With the nearest neighbours (Å) after each atom.
Space group Pmmm (No. 47)
Asymmetric unit:
1 La 0.0000 0.0000 0.0000 [1 per cell]  2 Br 3.05, 8 Re 3.18, 2 La 3.20
2 Re 0.5000 0.5000 0.1803 [2 per cell]  1 Re 2.20
3 Br 0.0000 0.0000 0.5000 [1 per cell]  2 La 3.05, 2 Br 3.20

---

[13]
Compound: LaRe2Br
Source: the Alexandria database
Functional: PBE-GGA
Structure: relaxed

Output
DOS at the Fermi energy ... 10.7 states/eV per cell
DFT total energy ... -55.43 eV per cell
Crystal system ... tetragonal
Calculated volume ... 159.20 Å³/cell
Distance to the lowest polymorph of the same formula ... 894 meV per atom
Formation energy without anion corrections ... 3.8 eV/f.u.

a = 4.7895 Å, b = 4.7895 Å, c = 6.9401 Å
α = 90.00°, β = 90.00°, γ = 90.00°
With the nearest neighbours (Å) after each atom.
Space group I-4m2 (No. 119)
Asymmetric unit:
1 La 0.0000 0.0000 0.0000 [2 per cell]  4 Re 2.96, 4 Br 2.96
2 Re 0.0000 0.0000 0.5000 [2 per cell]  4 Re 2.96, 4 Br 2.96
3 Re 0.0000 0.5000 0.7500 [2 per cell]  4 Re 2.96, 4 La 2.96
4 Br 0.0000 0.5000 0.2500 [2 per cell]  4 La 2.96, 4 Re 2.96

---

| no. | total magnetization (μB/cell) |
| --- | --- |
| 1 | 16.530 |
| 2 | 0.004 |
| 3 | 0.000 |
| 4 | 0.003 |
| 5 | 0.000 |
| 6 | 0.001 |
| 7 | 0.001 |
| 8 | 0.001 |
| 9 | 0.000 |
| 10 | 0.000 |
| 11 | 0.000 |
| 12 | 0.001 |
| 13 | 0.003 |